! FeNiOs2, relaxed, DFT PBE-GGA; values from VASP
! E above lowest polymorph = 1294 meV/atom
! total magnetization = 0.001 Bohr magnetons per cell
! space-group type = I-42d (122)
! D(E_F) = 5.16 states/eV/cell
! energy of formation from the pure elements = 1.397 eV/atom
&SYSTEM
  ibrav = 0, nat = 8, ntyp = 3
/
ATOMIC_SPECIES
Os 190.23 Os.upf
Fe 55.84 Fe.upf
Ni 58.69 Ni.upf
CELL_PARAMETERS angstrom
-1.548 3.260 4.007
3.365 -2.538 3.365
4.472 3.512 2.499
ATOMIC_POSITIONS crystal
Os 0.875 0.865 0.750
Os 0.615 0.125 0.250
Os 0.135 0.625 0.250
Os 0.375 0.385 0.750
Fe 0.250 0.750 0.500
Fe 0.500 0.500 0.000
Ni 0.000 0.000 0.000
Ni 0.750 0.250 0.500



! FeMo, relaxed, DFT PBE-GGA; values from VASP
! total magnetization = 4.071 Bohr magnetons per cell
! space-group type = Pmmn (59)
! D(E_F) = 5.02 states/eV/cell
! energy of formation from the pure elements = 0.292 eV/atom
&SYSTEM
  ibrav = 0, nat = 4, ntyp = 2
/
ATOMIC_SPECIES
Mo 95.94 Mo.upf
Fe 55.84 Fe.upf
CELL_PARAMETERS angstrom
2.531 0.000 0.000
0.000 4.427 0.000
0.000 0.000 4.996
ATOMIC_POSITIONS crystal
Mo 0.500 0.000 0.543
Mo 0.000 0.500 0.290
Fe 0.000 0.000 0.019
Fe 0.500 0.500 0.814



! YIrCl, relaxed, DFT PBE-GGA; values from VASP
! E above lowest polymorph = 917 meV/atom
! total magnetization = 0.000 Bohr magnetons per cell
! space-group type = P3m1 (156)
! D(E_F) = 3.05 states/eV/cell
&SYSTEM
  ibrav = 0, nat = 3, ntyp = 3
/
ATOMIC_SPECIES
Cl 35.45 Cl.upf
Ir 192.22 Ir.upf
Y 88.91 Y.upf
CELL_PARAMETERS angstrom
-0.672 2.606 -3.585
-1.483 -4.230 0.005
-2.900 1.018 1.283
ATOMIC_POSITIONS crystal
Cl 0.000 0.000 0.153
Ir 0.667 0.333 0.175
Y 0.333 0.667 0.673



! DyEr2ThSc5, relaxed, DFT PBE-GGA; values from VASP
! total magnetization = 0.000 Bohr magnetons per cell
! space-group type = Cmc2_1 (36)
! D(E_F) = 31.33 states/eV/cell
! energy of formation from the pure elements = 0.178 eV/atom
&SYSTEM
  ibrav = 0, nat = 18, ntyp = 4
/
ATOMIC_SPECIES
Sc 44.96 Sc.upf
Dy 162.50 Dy.upf
Er 167.26 Er.upf
Th 232.04 Th.upf
CELL_PARAMETERS angstrom
-0.951 -5.255 -0.620
9.107 0.579 4.432
-4.202 -0.262 8.668
ATOMIC_POSITIONS crystal
Sc 0.690 0.380 0.226
Sc 0.310 0.620 0.726
Sc 0.261 0.522 0.352
Sc 0.982 0.965 0.525
Sc 0.525 0.050 0.225
Sc 0.402 0.803 0.020
Sc 0.018 0.035 0.025
Sc 0.475 0.950 0.725
Sc 0.598 0.197 0.520
Sc 0.739 0.478 0.852
Dy 0.794 0.588 0.526
Dy 0.206 0.412 0.026
Er 0.894 0.788 0.821
Er 0.866 0.732 0.204
Er 0.106 0.212 0.321
Er 0.134 0.268 0.704
Th 0.593 0.187 0.924
Th 0.407 0.813 0.424



! AlNi2Sb, relaxed, DFT PBE-GGA; values from VASP
! E above lowest polymorph = 0 meV/atom
! total magnetization = 0.000 Bohr magnetons per cell
! space-group type = Pm (6)
! D(E_F) = 1.58 states/eV/cell
&SYSTEM
  ibrav = 0, nat = 4, ntyp = 3
/
ATOMIC_SPECIES
Sb 121.76 Sb.upf
Al 26.98 Al.upf
Ni 58.69 Ni.upf
CELL_PARAMETERS angstrom
-3.575 -0.672 1.509
0.442 -3.131 -0.348
1.667 1.317 4.537
ATOMIC_POSITIONS crystal
Sb 0.000 0.770 0.421
Al 0.500 0.488 0.846
Ni 0.000 0.039 0.954
Ni 0.500 0.203 0.278



! Rb4Na2Cd, relaxed, DFT PBE-GGA; values from VASP
! total magnetization = 0.000 Bohr magnetons per cell
! space-group type = I4/mmm (139)
! D(E_F) = 6.33 states/eV/cell
! energy of formation from the pure elements = 0.106 eV/atom
&SYSTEM
  ibrav = 0, nat = 7, ntyp = 3
/
ATOMIC_SPECIES
Rb 85.47 Rb.upf
Cd 112.41 Cd.upf
Na 22.99 Na.upf
CELL_PARAMETERS angstrom
-0.076 -6.774 2.188
6.802 0.575 2.018
0.410 -0.125 11.209
ATOMIC_POSITIONS crystal
Rb 0.812 0.812 0.377
Rb 0.000 0.500 0.000
Rb 0.188 0.188 0.623
Rb 0.500 0.000 0.000
Cd 0.000 0.000 0.000
Na 0.609 0.609 0.783
Na 0.391 0.391 0.217



! Pm2AlHgO6, relaxed, DFT PBE-GGA; values from VASP
! total magnetization = 0.000 Bohr magnetons per cell
! uncorrected energy = -0.242 Ha/atom
! space-group type = P4mm (99)
! D(E_F) = 4.58 states/eV/cell
&SYSTEM
  ibrav = 0, nat = 10, ntyp = 4
/
ATOMIC_SPECIES
Pm 145.00 Pm.upf
O 16.00 O.upf
Al 26.98 Al.upf
Hg 200.59 Hg.upf
CELL_PARAMETERS angstrom
-2.141 4.451 -1.549
-3.108 -0.011 4.264
3.663 2.694 2.677
ATOMIC_POSITIONS crystal
Pm 0.008 0.000 0.500
Pm 0.008 0.500 0.000
O 0.734 0.229 0.229
O 0.734 0.771 0.771
O 0.240 0.000 0.000
O 0.124 0.500 0.500
O 0.734 0.771 0.229
O 0.734 0.229 0.771
Al 0.586 0.000 0.000
Hg 0.542 0.500 0.500



! Er3Tm3Mg5, relaxed, DFT PBE-GGA; values from VASP
! total magnetization = 0.000 Bohr magnetons per cell
! space-group type = P-62m (189)
! D(E_F) = 15.43 states/eV/cell
! energy of formation from the pure elements = 0.506 eV/atom
&SYSTEM
  ibrav = 0, nat = 11, ntyp = 3
/
ATOMIC_SPECIES
Er 167.26 Er.upf
Mg 24.30 Mg.upf
Tm 168.93 Tm.upf
CELL_PARAMETERS angstrom
5.342 0.000 0.000
0.000 9.306 0.000
0.000 -4.653 8.059
ATOMIC_POSITIONS crystal
Er 0.500 0.778 0.778
Er 0.500 0.000 0.222
Er 0.500 0.222 0.000
Mg 0.500 0.590 0.000
Mg 0.500 0.000 0.590
Mg 0.500 0.410 0.410
Mg 0.500 0.667 0.333
Mg 0.500 0.333 0.667
Tm 0.000 0.786 0.000
Tm 0.000 0.214 0.214
Tm 0.000 0.000 0.786



! Sm4GeCCl2, relaxed, DFT PBE-GGA; values from VASP
! total magnetization = 0.000 Bohr magnetons per cell
! uncorrected energy = -0.208 Ha/atom
! space-group type = P2/m (10)
! D(E_F) = 3.55 states/eV/cell
&SYSTEM
  ibrav = 0, nat = 8, ntyp = 4
/
ATOMIC_SPECIES
Ge 72.64 Ge.upf
Sm 150.36 Sm.upf
C 12.01 C.upf
Cl 35.45 Cl.upf
CELL_PARAMETERS angstrom
-2.712 2.826 -0.536
-1.573 -0.214 6.832
5.338 4.933 -1.007
ATOMIC_POSITIONS crystal
Ge 0.000 0.000 0.000
Sm 0.500 0.270 0.209
Sm 0.000 0.290 0.802
Sm 0.500 0.730 0.791
Sm 0.000 0.710 0.198
C 0.500 0.500 0.000
Cl 0.000 0.500 0.500
Cl 0.500 0.000 0.500



! Pu2U2Ge3, relaxed, DFT PBE-GGA; values from VASP
! total magnetization = 10.232 Bohr magnetons per cell
! space-group type = Cmmm (65)
! D(E_F) = 19.47 states/eV/cell
! energy of formation from the pure elements = -0.319 eV/atom
&SYSTEM
  ibrav = 0, nat = 7, ntyp = 3
/
ATOMIC_SPECIES
Pu 244.00 Pu.upf
Ge 72.64 Ge.upf
U 238.03 U.upf
CELL_PARAMETERS angstrom
3.681 0.000 0.489
0.000 2.843 0.000
0.032 0.000 13.874
ATOMIC_POSITIONS crystal
Pu 0.427 0.500 0.145
Pu 0.573 0.500 0.855
Ge 0.146 0.000 0.707
Ge 0.854 0.000 0.293
Ge 0.000 0.000 0.000
U 0.282 0.500 0.435
U 0.718 0.500 0.565



! TaTlHg2, relaxed, DFT PBE-GGA; values from VASP
! total magnetization = 0.000 Bohr magnetons per cell
! space-group type = Immm (71)
! D(E_F) = 1.58 states/eV/cell
! energy of formation from the pure elements = 0.455 eV/atom
&SYSTEM
  ibrav = 0, nat = 4, ntyp = 3
/
ATOMIC_SPECIES
Ta 180.95 Ta.upf
Tl 204.38 Tl.upf
Hg 200.59 Hg.upf
CELL_PARAMETERS angstrom
-4.185 4.681 -2.203
-1.950 0.907 -6.298
0.501 -3.523 5.623
ATOMIC_POSITIONS crystal
Ta 0.750 0.250 0.500
Tl 0.250 0.750 0.500
Hg 0.958 0.958 0.000
Hg 0.542 0.542 0.000



! SrNpRu, relaxed, DFT PBE-GGA; values from VASP
! total magnetization = 11.795 Bohr magnetons per cell
! space-group type = C2/m (12)
! D(E_F) = 21.30 states/eV/cell
! energy of formation from the pure elements = 0.068 eV/atom
&SYSTEM
  ibrav = 0, nat = 12, ntyp = 3
/
ATOMIC_SPECIES
Ru 101.07 Ru.upf
Sr 87.62 Sr.upf
Np 237.00 Np.upf
CELL_PARAMETERS angstrom
4.370 0.000 0.000
0.000 6.105 -0.767
-2.185 -1.836 12.743
ATOMIC_POSITIONS crystal
Ru 0.330 0.802 0.661
Ru 0.687 0.733 0.374
Ru 0.670 0.198 0.339
Ru 0.313 0.267 0.626
Sr 0.907 0.638 0.813
Sr 0.093 0.362 0.187
Sr 0.441 0.182 0.881
Sr 0.559 0.818 0.119
Np 0.808 0.014 0.615
Np 0.770 0.449 0.541
Np 0.230 0.551 0.459
Np 0.192 0.986 0.385